(1)
Crystalline CaTlCdAu at its relaxed geometry. Source: the Alexandria database, functional PBE.

- raw total energy (eV per cell) = -40.0

Cell lengths 7.260, 7.260, 7.260 Å; angles 90.00, 90.00, 90.00 degrees
Element x y z (fractional)
1 Ca 0.000 0.000 0.000
2 Ca 0.000 0.500 0.500
3 Ca 0.500 0.000 0.500
4 Ca 0.500 0.500 0.000
5 Tl 0.250 0.250 0.250
6 Tl 0.250 0.750 0.750
7 Tl 0.750 0.250 0.750
8 Tl 0.750 0.750 0.250
9 Cd 0.000 0.000 0.500
10 Cd 0.000 0.500 0.000
11 Cd 0.500 0.000 0.000
12 Cd 0.500 0.500 0.500
13 Au 0.250 0.250 0.750
14 Au 0.250 0.750 0.250
15 Au 0.750 0.250 0.250
16 Au 0.750 0.750 0.750

(2)
Crystalline Ca4Tl2CdAu at its relaxed geometry. Source: the Alexandria database, functional PBE.

- raw total energy (eV per cell) = -20.9

Cell lengths 9.326, 9.326, 9.326 Å; angles 33.53, 33.53, 33.53 degrees
Element x y z (fractional)
1 Ca 0.120 0.120 0.120
2 Ca 0.371 0.371 0.371
3 Ca 0.629 0.629 0.629
4 Ca 0.880 0.880 0.880
5 Tl 0.246 0.246 0.246
6 Tl 0.754 0.754 0.754
7 Cd 0.500 0.500 0.500
8 Au 0.000 0.000 0.000

(3)
Crystalline Ca2TmCdAu6 at its relaxed geometry. Source: the Alexandria database, functional PBE.

- raw total energy (eV per cell) = -30.0

Cell lengths 7.512, 7.512, 7.512 Å; angles 60.00, 60.00, 60.00 degrees
Element x y z (fractional)
1 Ca 0.250 0.250 0.250
2 Ca 0.750 0.750 0.750
3 Tm 0.000 0.000 0.000
4 Cd 0.500 0.500 0.500
5 Au 0.252 0.252 0.748
6 Au 0.252 0.748 0.252
7 Au 0.252 0.748 0.748
8 Au 0.748 0.252 0.252
9 Au 0.748 0.252 0.748
10 Au 0.748 0.748 0.252

The calculation returns the following calculated formation energy values, one per record and in order: -0.3625; -0.4974; -0.0914 eV per atom.